1.
First-principles (PBEsol) data for MgV2P2O10 after structural relaxation, as listed in Alexandria.

Cell and atoms, written as POSCAR:
```
MgV2P2O10
1.0
-4.5133 -4.2690 -2.3723
5.5348 -2.7879 2.4114
-3.8329 3.0869 7.0951
Mg O V P
2 20 4 4
direct
0.4777 0.9777 0.5000
0.2277 0.2277 0.0000
0.4158 0.6359 0.5239
0.6067 0.3337 0.0329
0.9671 0.9509 0.7263
0.6545 0.6747 0.8352
0.8221 0.3629 0.8214
0.5415 0.0007 0.1786
0.2246 0.2408 0.2737
0.5837 0.3567 0.5329
0.8859 0.1658 0.0239
0.2507 0.2915 0.6786
0.1120 0.8919 0.4761
0.6129 0.5721 0.3214
0.8395 0.8193 0.1648
0.1419 0.8620 0.9761
0.8238 0.0508 0.4671
0.4908 0.9746 0.7737
0.9247 0.4045 0.3352
0.2009 0.7171 0.2263
0.0693 0.5895 0.6648
0.3008 0.5738 0.9671
0.8678 0.0869 0.2309
0.3369 0.6178 0.7309
0.8870 0.6060 0.2691
0.8560 0.6370 0.7691
0.6960 0.2084 0.9146
0.4584 0.4460 0.4146
0.2937 0.7814 0.0854
0.0314 0.0437 0.5854
```

Values from the calculation:
Energy relative to the elements, uncorrected: -2.331 eV/atom
M_tot: 2.00 μB per formula unit
Fermi-level density of states: 2.93 states/eV/cell


2.
First-principles (PBEsol) data for MgZr4P6O24 after structural relaxation, as listed in Alexandria.

Cell and atoms, written as POSCAR:
```
MgZr4P6O24
1.0
-8.8221 -0.9115 0.9054
-0.1208 -5.6923 -6.9080
1.7043 -9.5686 7.8548
P O Mg Zr
12 48 2 8
direct
0.3931 0.8697 0.8570
0.8931 0.1303 0.3570
0.3904 0.1652 0.1403
0.5320 0.4980 0.5081
0.0969 0.3692 0.6481
0.4694 0.9984 0.4914
0.6207 0.3605 0.8516
0.8904 0.8348 0.6403
0.5969 0.6308 0.1481
0.0320 0.5020 0.0081
0.9694 0.0016 0.9914
0.1207 0.6395 0.3516
0.1346 0.5338 0.6674
0.1719 0.2667 0.7301
0.1759 0.7531 0.2673
0.5479 0.1132 0.5647
0.1562 0.5835 0.0745
0.8380 0.1833 0.4679
0.1455 0.3186 0.5355
0.0592 0.8478 0.6275
0.6346 0.4662 0.1674
0.8496 0.7338 0.7386
0.6869 0.3288 0.9613
0.5860 0.9133 0.4252
0.0860 0.0867 0.9252
0.9337 0.6149 0.9502
0.3792 0.8933 0.5629
0.3223 0.0093 0.1533
0.6455 0.6814 0.0355
0.3496 0.2662 0.2386
0.6562 0.4165 0.5745
0.6719 0.7333 0.2301
0.3060 0.7872 0.7698
0.8726 0.9594 0.3498
0.5592 0.1522 0.1275
0.4417 0.5894 0.5899
0.6125 0.5967 0.4259
0.8792 0.1067 0.0629
0.1789 0.4819 0.3126
0.1125 0.4033 0.9259
0.0479 0.8868 0.0647
0.4480 0.3586 0.8548
0.8223 0.9907 0.6533
0.4337 0.3851 0.4502
0.1869 0.6712 0.4613
0.3726 0.0406 0.8498
0.9221 0.3579 0.6566
0.4221 0.6421 0.1566
0.8172 0.7422 0.5492
0.5611 0.8323 0.8449
0.0611 0.1677 0.3449
0.8589 0.9183 0.9189
0.6759 0.2469 0.7673
0.9480 0.6414 0.3548
0.6789 0.5181 0.8126
0.3172 0.2578 0.0492
0.3380 0.8167 0.9679
0.8060 0.2128 0.2698
0.9417 0.4106 0.0899
0.3589 0.0817 0.4189
0.7876 0.5425 0.6668
0.2876 0.4575 0.1668
0.2487 0.2742 0.3946
0.7548 0.7665 0.3802
0.7543 0.2782 0.1173
0.2548 0.2335 0.8802
0.7487 0.7258 0.8946
0.2424 0.8045 0.1147
0.7423 0.1955 0.6147
0.2543 0.7218 0.6173
```

Values from the calculation:
Energy relative to the elements, uncorrected: -2.766 eV/atom
M_tot: 0.00 μB per formula unit
Fermi-level density of states: 0.00 states/eV/cell


3.
First-principles (PBEsol) data for Mg2PbO after structural relaxation, as listed in Alexandria.

Cell and atoms, written as POSCAR:
```
Mg2PbO
1.0
6.0633 0.0418 0.0594
-2.9716 5.2853 -0.0594
-2.9716 -1.8361 4.9565
Pb Mg O
2 4 2
direct
0.5000 0.7500 0.2500
0.0000 0.0000 0.0000
0.3502 0.8750 0.7252
0.6498 0.3750 0.5248
0.1498 0.2748 0.6250
0.8502 0.4752 0.1250
0.5000 0.2500 0.7500
0.0000 0.5000 0.5000
```

Values from the calculation:
Energy relative to the elements, uncorrected: -1.170 eV/atom
M_tot: 0.00 μB per formula unit
Fermi-level density of states: 2.71 states/eV/cell


4.
First-principles (PBEsol) data for MgTcPb2O after structural relaxation, as listed in Alexandria.

Cell and atoms, written as POSCAR:
```
MgTcPb2O
1.0
-2.5919 -2.5514 0.5471
2.6819 -1.9311 3.6994
-2.2790 3.0060 3.2213
O Tc Mg Pb
1 1 1 2
direct
0.0000 0.0000 0.0000
0.5000 0.5000 0.5000
0.5000 0.0000 0.0000
0.0000 0.5000 0.0000
0.0000 0.0000 0.5000
```

Values from the calculation:
Energy relative to the elements, uncorrected: -0.132 eV/atom
M_tot: 0.00 μB per formula unit
Fermi-level density of states: 2.99 states/eV/cell